{
  "formula": "ErCdPO",
  "functional": "PBE",
  "state": "optimized geometry",
  "magmom_total_mub_per_cell": 0.00,
  "cell": [[4.276, 0.000, 0.000], [0.000, 6.595, 0.000], [0.000, 0.000, 5.801]],
  "species": ["O", "O", "Er", "Er", "Cd", "Cd", "P", "P"],
  "frac_coords": [[0.500, 0.801, 0.414], [0.500, 0.199, 0.914], [0.000, 0.288, 0.924], [0.000, 0.712, 0.424], [0.500, 0.137, 0.506], [0.500, 0.863, 0.006], [0.000, 0.701, 0.910], [0.000, 0.299, 0.410]]
}

***

{
  "formula": "ErCdPO",
  "functional": "PBE",
  "state": "optimized geometry",
  "magmom_total_mub_per_cell": 0.00,
  "cell": [[-3.984, -0.662, 3.858], [-0.014, -5.503, -0.958], [3.312, -0.586, 3.320]],
  "species": ["P", "P", "Cd", "Cd", "Er", "Er", "O", "O"],
  "frac_coords": [[0.000, 0.500, 0.500], [0.500, 0.000, 0.500], [0.500, 0.000, 0.000], [0.000, 0.500, 0.000], [0.000, 0.000, 0.500], [0.500, 0.500, 0.500], [0.000, 0.000, 0.000], [0.500, 0.500, 0.000]]
}

***

E_tot values, unit eV per atom, following the record order: -5.439, -5.313.